No. 1
Hf4Ti2Pb: relaxed, PBE.

The value obtained for the energy relative to the lowest polymorph listed for this composition is 0.000 eV per atom. Its energy relative to the elements is 396 meV per atom. The total energy is -226.1 eV per cell.

Cell: 7.3916 7.3916 11.9681 Å, 90.00 90.00 90.00°
With the nearest neighbours (Å) after each atom.
Space group I4/mcm (No. 140)
Inequivalent atoms, fractional coordinates:
Hf: 0.1460 0.3540 0.1603 [16 per cell]  3 Ti 2.87-2.93, 2 Pb 3.03, 4 Hf 3.04-3.06
Ti: 0.1421 0.3579 0.5000 [8 per cell]  6 Hf 2.87-2.93, 1 Ti 2.97
Pb: 0.0000 0.0000 0.2500 [4 per cell]  8 Hf 3.03

=====

No. 2
NaCaGe2: relaxed, PBE.

The value obtained for the energy relative to the lowest polymorph listed for this composition is 0.212 eV per atom. Its energy relative to the elements is -191 meV per atom. The total energy is -13.3 eV per cell.

Cell: 3.6647 3.6647 6.7669 Å, 90.00 90.00 90.00°
With the nearest neighbours (Å) after each atom.
Space group P4/mmm (No. 123)
Inequivalent atoms, fractional coordinates:
Na: 0.0000 0.0000 0.0000 [1 per cell]  8 Ge 2.98
Ca: 0.0000 0.0000 0.5000 [1 per cell]  8 Ge 3.22, 2 Na 3.38
Ge: 0.5000 0.5000 0.2174 [2 per cell]  1 Ge 2.94, 4 Na 2.98, 4 Ca 3.22

=====

No. 3
K2Zn2F7: relaxed, PBE.

The value obtained for the energy relative to the lowest polymorph listed for this composition is 0.092 eV per atom. The total energy is -83.8 eV per cell.

Cell: 6.7701 7.8084 6.0710 Å, 90.00 90.00 90.00°
With the nearest neighbours (Å) after each atom.
Space group Cmmm (No. 65)
Inequivalent atoms, fractional coordinates:
K: 0.2321 0.0000 0.0000 [4 per cell]  6 F 2.56-2.62
Zn: 0.0000 0.2726 0.5000 [4 per cell]  7 F 2.13-2.16
F: 0.0000 0.0000 0.5000 [2 per cell]  2 Zn 2.13
F: 0.0000 0.5000 0.2966 [4 per cell]  2 Zn 2.16
F: 0.2500 0.2500 0.2879 [8 per cell]  2 Zn 2.13

=====

No. 4
ScSi2Au: relaxed, PBE.

The total energy is -20.5 eV per cell.

Cell: 3.0523 3.0523 7.3403 Å, 90.00 90.00 90.00°
With the nearest neighbours (Å) after each atom.
Space group P4/mmm (No. 123)
Inequivalent atoms, fractional coordinates:
Sc: 0.0000 0.0000 0.0000 [1 per cell]  8 Si 2.85, 4 Sc 3.05
Si: 0.5000 0.5000 0.2536 [2 per cell]  4 Au 2.82, 4 Sc 2.85, 4 Si 3.05
Au: 0.0000 0.0000 0.5000 [1 per cell]  8 Si 2.82, 4 Au 3.05

=====

No. 5
MgSnBiP2: relaxed, PBE.

Its energy relative to the elements is 657 meV per atom. The total energy is -17.0 eV per cell.

Cell: 4.8142 4.8142 5.6890 Å, 90.00 90.00 90.00°
With the nearest neighbours (Å) after each atom.
Space group P4/mmm (No. 123)
Inequivalent atoms, fractional coordinates:
Mg: 0.0000 0.0000 0.0000 [1 per cell]  4 P 2.41
Sn: 0.5000 0.5000 0.5000 [1 per cell]  4 Bi 3.40, 8 P 3.73
Bi: 0.0000 0.0000 0.5000 [1 per cell]  2 Mg 2.84
P: 0.0000 0.5000 0.0000 [2 per cell]  2 Mg 2.41

=====

No. 6
ThScPa2Rh4: relaxed, PBE.

Its energy relative to the elements is -791 meV per atom. The total energy is -273.9 eV per cell.

Cell: 7.5417 11.0135 8.2410 Å, 90.00 90.00 90.00°
With the nearest neighbours (Å) after each atom.
Space group Fmm2 (No. 42)
Inequivalent atoms, fractional coordinates:
Th: 0.0000 0.0000 0.0000 [4 per cell]  6 Rh 2.80-3.04
Sc: 0.0000 0.0000 0.5864 [4 per cell]  6 Rh 2.67-2.87
Pa: 0.2500 0.2500 0.2210 [8 per cell]  6 Rh 2.78-2.84
Rh: 0.0000 0.2248 0.4661 [8 per cell]  1 Sc 2.67, 4 Pa 2.78-2.84
Rh: 0.1964 0.0000 0.2886 [8 per cell]  2 Th 2.80-2.88, 2 Sc 2.83-2.87, 2 Pa 2.84, 1 Rh 2.96

=====

No. 7
BaCu5P4: relaxed, PBE.

Its energy relative to the elements is -233 meV per atom. The total energy is -92.7 eV per cell.

Cell: 7.0096 12.3862 3.9670 Å, 90.00 90.00 90.00°
With the nearest neighbours (Å) after each atom.
Space group Pmmn (No. 59, origin choice 2)
Inequivalent atoms, fractional coordinates:
Ba: 0.2500 0.2500 0.2393 [2 per cell]  4 P 3.08-3.09
Cu: 0.0645 0.5580 0.2495 [8 per cell]  4 P 2.31-2.48
Cu: 0.2500 0.7500 0.7618 [2 per cell]  4 P 2.29
P: 0.0875 0.7500 0.2616 [4 per cell]  1 P 2.28, 4 Cu 2.29-2.38
P: 0.2500 0.0009 0.7498 [4 per cell]  6 Cu 2.31-2.48

=====

No. 8
SmSi2TcOs: relaxed, PBE.

The total energy is -80.9 eV per cell.

Cell: 4.1844 4.1844 9.9499 Å, 90.00 90.00 90.00°
With the nearest neighbours (Å) after each atom.
Space group I-4m2 (No. 119)
Inequivalent atoms, fractional coordinates:
Sm: 0.0000 0.0000 0.0000 [2 per cell]  8 Si 3.22, 4 Tc 3.25, 4 Os 3.25
Si: 0.0000 0.0000 0.3720 [4 per cell]  2 Tc 2.42, 2 Os 2.42, 1 Si 2.55
Tc: 0.0000 0.5000 0.2500 [2 per cell]  4 Si 2.42
Os: 0.0000 0.5000 0.7500 [2 per cell]  4 Si 2.42

=====

No. 9
NaGaBrCl: relaxed, PBE.

The value obtained for the energy relative to the lowest polymorph listed for this composition is 0.096 eV per atom. The total energy is -47.8 eV per cell.

Cell: 7.3883 7.3883 7.3883 Å, 90.00 90.00 90.00°
With the nearest neighbours (Å) after each atom.
Space group F-43m (No. 216)
Inequivalent atoms, fractional coordinates:
Na: 0.0000 0.0000 0.0000 [4 per cell]  4 Cl 3.20, 4 Br 3.20
Ga: 0.0000 0.0000 0.5000 [4 per cell]  4 Cl 3.20, 4 Br 3.20
Br: 0.2500 0.2500 0.2500 [4 per cell]  4 Na 3.20, 4 Ga 3.20
Cl: 0.2500 0.2500 0.7500 [4 per cell]  4 Na 3.20, 4 Ga 3.20

=====

No. 10
BAsC2: relaxed, PBE.

The value obtained for the energy relative to the lowest polymorph listed for this composition is 0.339 eV per atom. Its energy relative to the elements is 737 meV per atom. The total energy is -107.3 eV per cell.

Cell: 2.9008 6.9313 7.7849 Å, 90.00 90.00 90.00°
With the nearest neighbours (Å) after each atom.
Space group Fmm2 (No. 42)
Inequivalent atoms, fractional coordinates:
B: 0.0000 0.0000 0.0000 [4 per cell]  2 C 1.66
As: 0.0000 0.0000 0.6734 [4 per cell]  2 B 1.98, 2 C 2.02
C: 0.0000 0.1893 0.8702 [8 per cell]  1 B 1.66, 2 C 1.68

=====

No. 11
HfInAs2Se: relaxed, PBE.

The value obtained for the energy relative to the lowest polymorph listed for this composition is 0.858 eV per atom. The total energy is -21.3 eV per cell.

Cell: 5.0505 5.0505 5.1576 Å, 90.00 90.00 90.00°
With the nearest neighbours (Å) after each atom.
Space group P4/mmm (No. 123)
Inequivalent atoms, fractional coordinates:
Hf: 0.0000 0.0000 0.0000 [1 per cell]  4 Se 3.57, 8 As 3.61
In: 0.5000 0.5000 0.5000 [1 per cell]  4 As 2.53, 2 Se 2.58
As: 0.0000 0.5000 0.5000 [2 per cell]  2 In 2.53
Se: 0.5000 0.5000 0.0000 [1 per cell]  2 In 2.58

=====

No. 12
Zr3Tl2Zn: relaxed, PBE.

Its energy relative to the elements is -124 meV per atom. The total energy is -32.4 eV per cell.

Cell: 3.1744 3.1744 12.8080 Å, 90.00 90.00 90.00°
With the nearest neighbours (Å) after each atom.
Space group P4/mmm (No. 123)
Inequivalent atoms, fractional coordinates:
Zr: 0.0000 0.0000 0.0000 [1 per cell]  8 Tl 3.17, 4 Zr 3.17
Zr: 0.0000 0.0000 0.3550 [2 per cell]  4 Zn 2.91, 4 Zr 3.17, 4 Tl 3.22
Tl: 0.5000 0.5000 0.1749 [2 per cell]  8 Zr 3.17-3.22, 4 Tl 3.17
Zn: 0.5000 0.5000 0.5000 [1 per cell]  8 Zr 2.91, 4 Zn 3.17